The following is a DFT calculation (GGA-PBE) of a relaxed Pu3ThSi2 crystal.

Values from the calculation:
Raw formation energy = -0.355 eV/atom
Crystal system = orthorhombic
Total energy = -10.565 eV/atom

Lattice parameters (Å, degrees): 3.9685 9.1214 7.6512 90.00 90.00 90.00
Space group Pmc2_1 (No. 26)
Asymmetric unit:
Pu1 0.0000 0.0877 0.0000 [2 per cell]
Pu2 0.0000 0.2923 0.4738 [2 per cell]
Pu3 0.5000 0.1943 0.6562 [2 per cell]
Th1 0.5000 0.4125 0.1250 [2 per cell]
Si1 0.0000 0.3934 0.8286 [2 per cell]
Si2 0.5000 0.1044 0.2947 [2 per cell]

=====

The following is a DFT calculation (GGA-PBE) of a relaxed Pu2ThSi2 crystal.

Values from the calculation:
Raw formation energy = -0.334 eV/atom
Offset from the most stable computed form = 59 meV/atom
Crystal system = monoclinic
Total energy = -9.720 eV/atom

Lattice parameters (Å, degrees): 13.3662 3.7101 4.3708 90.00 104.86 90.00
Space group C2/m (No. 12)
Asymmetric unit:
Pu1 0.2401 0.0000 0.1629 [4 per cell]
Th1 0.0000 0.5000 0.0000 [2 per cell]
Si1 0.0948 0.0000 0.5679 [4 per cell]

=====

The following is a DFT calculation (GGA-PBE) of a relaxed PuThSi crystal.

Values from the calculation:
Raw formation energy = -0.120 eV/atom
Offset from the most stable computed form = 313 meV/atom
Crystal system = trigonal
Total energy = -9.179 eV/atom

Lattice parameters (Å, degrees): 4.8061 4.8061 3.5827 90.00 90.00 120.00
Space group P3m1 (No. 156)
Asymmetric unit:
Pu1 0.0000 0.0000 0.0000 [1 per cell]
Th1 0.6667 0.3333 0.6036 [1 per cell]
Si1 0.3333 0.6667 0.2197 [1 per cell]

=====

The following is a DFT calculation (GGA-PBE) of a relaxed PuThSi crystal.

Values from the calculation:
Raw formation energy = -0.433 eV/atom
Offset from the most stable computed form = 0 meV/atom
Crystal system = hexagonal
Total energy = -9.491 eV/atom

Lattice parameters (Å, degrees): 7.6168 7.6168 4.3367 90.00 90.00 120.00
Space group P-62m (No. 189)
Asymmetric unit:
Pu1 0.0000 0.2418 0.0000 [3 per cell]
Th1 0.0000 0.5712 0.5000 [3 per cell]
Si1 0.0000 0.0000 0.5000 [1 per cell]
Si2 0.3333 0.6667 0.0000 [2 per cell]

=====

The following is a DFT calculation (GGA-PBE) of a relaxed PuTh3Si7 crystal.

Values from the calculation:
Raw formation energy = -0.545 eV/atom
Crystal system = orthorhombic
Total energy = -7.322 eV/atom

Lattice parameters (Å, degrees): 4.1986 18.8850 11.6349 90.00 90.00 90.00
Space group Cmcm (No. 63)
Asymmetric unit:
Pu1 0.0000 0.0405 0.2500 [4 per cell]
Th1 0.0000 0.1082 0.5464 [8 per cell]
Th2 0.0000 0.2413 0.2500 [4 per cell]
Si1 0.0000 0.2688 0.5361 [8 per cell]
Si2 0.0000 0.3711 0.6489 [8 per cell]
Si3 0.0000 0.4087 0.2500 [4 per cell]
Si4 0.0000 0.4956 0.5988 [8 per cell]

=====

The following is a DFT calculation (GGA-PBE) of a relaxed PuThZnSi crystal.

Values from the calculation:
Raw formation energy = -0.245 eV/atom
Crystal system = cubic
Total energy = -7.357 eV/atom

Lattice parameters (Å, degrees): 7.1554 7.1554 7.1554 90.00 90.00 90.00
Space group F-43m (No. 216)
Asymmetric unit:
Pu1 0.0000 0.0000 0.0000 [4 per cell]
Th1 0.0000 0.0000 0.5000 [4 per cell]
Zn1 0.2500 0.2500 0.2500 [4 per cell]
Si1 0.2500 0.2500 0.7500 [4 per cell]

=====

The following is a DFT calculation (GGA-PBE) of a relaxed Pu2ThZn2Si2 crystal.

Values from the calculation:
Raw formation energy = -0.247 eV/atom
Crystal system = trigonal
Total energy = -7.315 eV/atom

Lattice parameters (Å, degrees): 4.0206 4.0206 27.7048 90.00 90.00 120.00
Space group R-3m (No. 166, hexagonal axes)
Asymmetric unit:
Pu1 0.0000 0.0000 0.1511 [6 per cell]
Th1 0.0000 0.0000 0.0000 [3 per cell]
Zn1 0.0000 0.0000 0.4100 [6 per cell]
Si1 0.0000 0.0000 0.2554 [6 per cell]

=====

The following is a DFT calculation (GGA-PBE) of a relaxed Pu2Ti3Si4 crystal.

Values from the calculation:
Raw formation energy = -0.643 eV/atom
Crystal system = monoclinic
Total energy = -8.870 eV/atom

Lattice parameters (Å, degrees): 7.0200 6.9849 6.8903 90.00 109.63 90.00
Space group P2_1/c (No. 14)
Asymmetric unit:
Pu1 0.1817 0.1594 0.0625 [4 per cell]
Ti1 0.2547 0.6752 0.2505 [4 per cell]
Ti2 0.5000 0.0000 0.5000 [2 per cell]
Si1 0.0861 0.5403 0.8748 [4 per cell]
Si2 0.4925 0.1283 0.8677 [4 per cell]

=====

The following is a DFT calculation (GGA-PBE) of a relaxed PuTi2Si crystal.

Values from the calculation:
Raw formation energy = -0.306 eV/atom
Crystal system = tetragonal
Total energy = -9.192 eV/atom

Lattice parameters (Å, degrees): 4.2397 4.2397 3.7944 90.00 90.00 90.00
Space group P4/mmm (No. 123)
Asymmetric unit:
Pu1 0.0000 0.0000 0.0000 [1 per cell]
Ti1 0.0000 0.5000 0.5000 [2 per cell]
Si1 0.5000 0.5000 0.0000 [1 per cell]

=====

The following is a DFT calculation (GGA-PBE) of a relaxed PuTi2Si4 crystal.

Values from the calculation:
Raw formation energy = -0.568 eV/atom
Crystal system = orthorhombic
Total energy = -7.970 eV/atom

Lattice parameters (Å, degrees): 3.6892 3.7941 16.4829 90.00 90.00 90.00
Space group Immm (No. 71)
Asymmetric unit:
Pu1 0.0000 0.0000 0.0000 [2 per cell]
Ti1 0.0000 0.5000 0.1879 [4 per cell]
Si1 0.0000 0.0000 0.4282 [4 per cell]
Si2 0.0000 0.5000 0.3429 [4 per cell]

=====

The following is a DFT calculation (GGA-PBE) of a relaxed Pu2TlSi crystal.

Values from the calculation:
Raw formation energy = -0.100 eV/atom
Crystal system = tetragonal
Total energy = -9.214 eV/atom

Lattice parameters (Å, degrees): 4.6294 4.6294 4.4253 90.00 90.00 90.00
Space group P4/mmm (No. 123)
Asymmetric unit:
Pu1 0.0000 0.5000 0.0000 [2 per cell]
Tl1 0.0000 0.0000 0.5000 [1 per cell]
Si1 0.5000 0.5000 0.5000 [1 per cell]

=====

The following is a DFT calculation (GGA-PBE) of a relaxed Pu2TlSi crystal.

Values from the calculation:
Raw formation energy = 0.003 eV/atom
Crystal system = trigonal
Total energy = -9.110 eV/atom

Lattice parameters (Å, degrees): 3.4507 3.4507 29.4514 90.00 90.00 120.00
Space group R-3m (No. 166, hexagonal axes)
Asymmetric unit:
Pu1 0.0000 0.0000 0.2370 [6 per cell]
Tl1 0.0000 0.0000 0.0000 [3 per cell]
Si1 0.0000 0.0000 0.5000 [3 per cell]

=====

Q: The lowest total energy belongs to which entry?
A: Pu3ThSi2

=====

Please write out number 4 again, unchanged.
The following is a DFT calculation (GGA-PBE) of a relaxed PuThSi crystal.

Values from the calculation:
Raw formation energy = -0.433 eV/atom
Offset from the most stable computed form = 0 meV/atom
Crystal system = hexagonal
Total energy = -9.491 eV/atom

Lattice parameters (Å, degrees): 7.6168 7.6168 4.3367 90.00 90.00 120.00
Space group P-62m (No. 189)
Asymmetric unit:
Pu1 0.0000 0.2418 0.0000 [3 per cell]
Th1 0.0000 0.5712 0.5000 [3 per cell]
Si1 0.0000 0.0000 0.5000 [1 per cell]
Si2 0.3333 0.6667 0.0000 [2 per cell]

=====

Q: raw formation energy of number 5 (PuTh3Si7)?
A: -0.545 eV/atom